VASP calculation (GGA-PBEsol) on Fe4TcW after structural relaxation.

Values from the calculation:
E: -10.19 eV/atom
DFT formation energy: -0.032 eV per atom
spin magnetization: 4.2 μB/f.u.

Cell lengths 4.6141, 4.6141, 4.6141 Å; angles 60.00, 60.00, 60.00 degrees
Closest atoms and distances in Å follow each position.
Atoms (fractional coordinates):
Fe1 0.3752 0.3752 0.3752  6 Fe 2.30-2.31
Fe2 0.3752 0.3752 0.8743  6 Fe 2.30-2.31
Fe3 0.8743 0.3752 0.3752  6 Fe 2.30-2.31
Fe4 0.3752 0.8743 0.3752  6 Fe 2.30-2.31
Tc1 0.7500 0.7500 0.7500  12 Fe 2.70, 4 W 2.83
W1 0.0000 0.0000 0.0000  12 Fe 2.71, 4 Tc 2.83